(1)
The following is a PBE calculation of a relaxed structure of HoMnRu, from Alexandria via LeMat-Bulk.

Calculated values
Offset from the most stable computed form = 0.0000 eV per atom
Formation energy from the elements = -214.3 meV per atom
Crystal system = orthorhombic

abc: 5.2880 5.3247 7.4054
angles: 90.00 90.00 90.00
Last column: nearest neighbours and their distance in Å.
Space group Imma (No. 74)
One atom of each set of equivalent atoms:
Ho 0.0000 0.2500 0.1271 x4  6 Ru 3.07-3.11, 6 Mn 3.09-3.11, 4 Ho 3.21-3.26
Mn 0.2500 0.2500 0.7500 x4  4 Ru 2.64, 2 Mn 2.64
Ru 0.0000 0.0000 0.5000 x4  4 Mn 2.64, 2 Ru 2.66


(2)
The following is a PBE calculation of a relaxed structure of Ho2MnRu, from Alexandria via LeMat-Bulk.

Calculated values
Formation energy from the elements = -129.2 meV per atom
Crystal system = tetragonal

abc: 3.4211 3.4211 7.0692
angles: 90.00 90.00 90.00
Last column: nearest neighbours and their distance in Å.
Space group P4/mmm (No. 123)
One atom of each set of equivalent atoms:
Ho 0.0000 0.0000 0.2343 x2  4 Ru 2.93, 4 Mn 3.06
Mn 0.5000 0.5000 0.5000 x1  8 Ho 3.06, 4 Mn 3.42
Ru 0.5000 0.5000 0.0000 x1  8 Ho 2.93


(3)
The following is a PBE calculation of a relaxed structure of Ho2MnRu, from Alexandria via LeMat-Bulk.

Calculated values
Formation energy from the elements = 408.4 meV per atom
Crystal system = trigonal

abc: 3.3053 3.3053 29.7048
angles: 90.00 90.00 120.00
Last column: nearest neighbours and their distance in Å.
Space group R-3m (No. 166, hexagonal axes)
One atom of each set of equivalent atoms:
Ho 0.0000 0.0000 0.0989 x6  3 Ru 2.77, 1 Mn 2.94
Mn 0.0000 0.0000 0.0000 x3  2 Ho 2.94
Ru 0.0000 0.0000 0.5000 x3  6 Ho 2.77


(4)
The following is a PBE calculation of a relaxed structure of Ho6MnRu5, from Alexandria via LeMat-Bulk.

Calculated values
Formation energy from the elements = -300.3 meV per atom
Crystal system = orthorhombic

abc: 4.8028 14.4305 6.8519
angles: 90.00 90.00 90.00
Last column: nearest neighbours and their distance in Å.
Space group Cmmm (No. 65)
One atom of each set of equivalent atoms:
Ho 0.0000 0.0000 0.2395 x4  6 Ru 2.91-2.92, 2 Mn 2.99
Ho 0.0000 0.3294 0.2463 x8  7 Ru 2.89-3.00, 1 Mn 3.01
Mn 0.0000 0.5000 0.5000 x2  8 Ho 2.99-3.01, 4 Ru 3.33
Ru 0.0000 0.1596 0.5000 x4  8 Ho 2.91-3.00
Ru 0.0000 0.1670 0.0000 x4  8 Ho 2.89-2.94
Ru 0.0000 0.5000 0.0000 x2  8 Ho 2.91-2.98


(5)
The following is a PBE calculation of a relaxed structure of HoMnRu, from Alexandria via LeMat-Bulk.

Calculated values
Offset from the most stable computed form = 0.2256 eV per atom
Formation energy from the elements = 11.3 meV per atom
Crystal system = tetragonal

abc: 3.3092 3.3092 10.2011
angles: 90.00 90.00 90.00
Last column: nearest neighbours and their distance in Å.
Space group I4mm (No. 107)
One atom of each set of equivalent atoms:
Ho 0.0000 0.0000 0.0000 x2  5 Mn 2.98-3.16, 5 Ru 2.98-3.25, 4 Ho 3.31
Mn 0.0000 0.0000 0.7081 x2  4 Ru 2.60
Ru 0.0000 0.0000 0.3189 x2  4 Mn 2.60


(6)
The following is a PBE calculation of a relaxed structure of HoMnRu2, from Alexandria via LeMat-Bulk.

Calculated values
Formation energy from the elements = -46.6 meV per atom
Crystal system = tetragonal

abc: 3.1628 3.1628 6.5600
angles: 90.00 90.00 90.00
Last column: nearest neighbours and their distance in Å.
Space group P4/mmm (No. 123)
One atom of each set of equivalent atoms:
Ho 0.0000 0.0000 0.0000 x1  8 Ru 2.94, 4 Ho 3.16, 2 Mn 3.28
Mn 0.0000 0.0000 0.5000 x1  8 Ru 2.62
Ru 0.5000 0.5000 0.2910 x2  4 Mn 2.62, 1 Ru 2.74


no.,final energy (eV/atom),DOS at the Fermi energy (states/eV per atom)
1,-7.889,0.91
2,-7.029,0.65
3,-6.492,0.94
4,-7.218,0.62
5,-7.663,0.66
6,-8.121,0.89